Here is a PBEsol-optimized structure of ZrSiGe3 from Alexandria via LeMat-Bulk. Energies are from meta-GGA SCAN.

Summary:
The value obtained for the uncorrected formation energy is 970 meV per atom. The value obtained for the volume is 26.28 A^3/atom. The space group is Pm-3m (221). As for the magnetization: 0.000 μB/atom.

Cell lengths 5.0842, 5.0842, 5.0842 Å; angles 90.00, 90.00, 90.00 degrees
With the nearest neighbours (Å) after each atom.
Fractional positions:
Si 0.5000 0.5000 0.5000  12 Ge 3.60
Ge 0.0000 0.0000 0.5000  2 Zr 2.54
Ge 0.5000 0.0000 0.0000  2 Zr 2.54
Ge 0.0000 0.5000 0.0000  2 Zr 2.54
Zr 0.0000 0.0000 0.0000  6 Ge 2.54